(1)
Ca2YSe | PBE-GGA | optimized geometry

Cell lengths 5.602, 5.602, 5.602 Å; angles 60.00, 60.00, 60.00 degrees
Element x y z (fractional)
Ca1 0.250 0.250 0.250
Ca2 0.750 0.750 0.750
Y1 0.000 0.000 0.000
Se1 0.500 0.500 0.500

Output
Electronic total energy: -3.5452 eV per atom
SG: Fm-3m
Density of states at the Fermi level: 7.43 states/eV/f.u.

---

(2)
Pr4Tl5Cd | PBE-GGA | optimized geometry

Cell lengths 8.702, 10.642, 7.007 Å; angles 90.00, 90.00, 90.00 degrees
Element x y z (fractional)
Pr1 0.031 0.250 0.215
Pr2 0.250 0.553 0.432
Pr3 0.250 0.947 0.432
Pr4 0.469 0.250 0.215
Pr5 0.531 0.750 0.785
Pr6 0.750 0.053 0.568
Pr7 0.750 0.447 0.568
Pr8 0.969 0.750 0.785
Tl1 0.070 0.055 0.817
Tl2 0.070 0.445 0.817
Tl3 0.250 0.750 0.065
Tl4 0.430 0.055 0.817
Tl5 0.430 0.445 0.817
Tl6 0.570 0.555 0.183
Tl7 0.570 0.945 0.183
Tl8 0.750 0.250 0.935
Tl9 0.930 0.555 0.183
Tl10 0.930 0.945 0.183
Cd1 0.250 0.250 0.587
Cd2 0.750 0.750 0.413

Output
SG: Pmmn
Formation energy: -0.08 eV per atom
Density of states at the Fermi level: 7.08 states/eV/f.u.

---

(3)
PrAlH5 | PBE-GGA | optimized geometry

Cell lengths 4.503, 4.503, 8.334 Å; angles 111.92, 111.92, 64.84 degrees
Element x y z (fractional)
Pr1 0.192 0.808 0.750
Pr2 0.808 0.192 0.250
Al1 0.000 0.500 0.000
Al2 0.500 0.000 0.500
H1 0.118 0.231 0.556
H2 0.231 0.118 0.056
H3 0.257 0.373 0.862
H4 0.288 0.712 0.250
H5 0.373 0.257 0.362
H6 0.627 0.743 0.638
H7 0.712 0.288 0.750
H8 0.743 0.627 0.138
H9 0.769 0.882 0.944
H10 0.882 0.769 0.444

Output
Electronic total energy: -3.7995 eV per atom
SG: C2/c
Density of states at the Fermi level: 0.79 states/eV/f.u.

---

(4)
PrDy12Ho7 | PBE-GGA | optimized geometry

Cell lengths 9.758, 9.758, 9.758 Å; angles 109.47, 109.47, 109.47 degrees
Element x y z (fractional)
Pr1 0.000 0.000 0.000
Dy1 0.000 0.256 0.744
Dy2 0.000 0.744 0.256
Dy3 0.256 0.000 0.744
Dy4 0.256 0.256 0.512
Dy5 0.256 0.512 0.256
Dy6 0.256 0.744 0.000
Dy7 0.488 0.744 0.744
Dy8 0.512 0.256 0.256
Dy9 0.744 0.000 0.256
Dy10 0.744 0.256 0.000
Dy11 0.744 0.488 0.744
Dy12 0.744 0.744 0.488
Ho1 0.000 0.000 0.500
Ho2 0.000 0.500 0.000
Ho3 0.000 0.500 0.500
Ho4 0.500 0.000 0.000
Ho5 0.500 0.000 0.500
Ho6 0.500 0.500 0.000
Ho7 0.500 0.500 0.500

Output
SG: Im-3m
Formation energy: 0.71 eV per atom
Density of states at the Fermi level: 24.38 states/eV/f.u.

---

(5)
Pm4Ta | PBE-GGA | optimized geometry

Cell lengths 5.664, 5.664, 5.664 Å; angles 90.00, 90.00, 90.00 degrees
Element x y z (fractional)
Pm1 0.000 0.000 0.000
Pm2 0.000 0.500 0.500
Pm3 0.500 0.000 0.500
Pm4 0.500 0.500 0.000
Ta1 0.500 0.500 0.500

Output
SG: Pm-3m
Formation energy: 0.58 eV per atom
Density of states at the Fermi level: 8.35 states/eV/f.u.

---

(6)
ReMo5 | PBE-GGA | optimized geometry

Cell lengths 5.161, 5.161, 5.161 Å; angles 60.00, 60.00, 60.00 degrees
Element x y z (fractional)
Re1 0.000 0.000 0.000
Mo1 0.375 0.375 0.375
Mo2 0.375 0.375 0.874
Mo3 0.375 0.874 0.375
Mo4 0.750 0.750 0.750
Mo5 0.874 0.375 0.375

Output
SG: F-43m
Formation energy: 0.37 eV per atom
Density of states at the Fermi level: 7.06 states/eV/f.u.

---

(7)
Na3Si5Te12 | PBE-GGA | optimized geometry

Cell lengths 14.765, 14.765, 14.765 Å; angles 109.47, 109.47, 109.47 degrees
Element x y z (fractional)
Na1 0.125 0.250 0.375
Na2 0.125 0.375 0.750
Na3 0.250 0.375 0.125
Na4 0.250 0.875 0.625
Na5 0.375 0.125 0.250
Na6 0.375 0.750 0.125
Na7 0.625 0.250 0.875
Na8 0.625 0.875 0.750
Na9 0.750 0.125 0.375
Na10 0.750 0.625 0.875
Na11 0.875 0.625 0.250
Na12 0.875 0.750 0.625
Si1 0.000 0.000 0.000
Si2 0.000 0.000 0.500
Si3 0.000 0.500 0.000
Si4 0.000 0.500 0.500
Si5 0.125 0.750 0.875
Si6 0.125 0.875 0.250
Si7 0.250 0.125 0.875
Si8 0.250 0.625 0.375
Si9 0.375 0.250 0.625
Si10 0.375 0.625 0.750
Si11 0.500 0.000 0.000
Si12 0.500 0.000 0.500
Si13 0.500 0.500 0.000
Si14 0.500 0.500 0.500
Si15 0.625 0.375 0.250
Si16 0.625 0.750 0.375
Si17 0.750 0.375 0.625
Si18 0.750 0.875 0.125
Si19 0.875 0.125 0.750
Si20 0.875 0.250 0.125
Te1 0.030 0.208 0.121
Te2 0.030 0.322 0.909
Te3 0.086 0.708 0.678
Te4 0.086 0.879 0.409
Te5 0.091 0.621 0.414
Te6 0.091 0.970 0.678
Te7 0.121 0.030 0.208
Te8 0.121 0.591 0.914
Te9 0.178 0.208 0.586
Te10 0.178 0.470 0.591
Te11 0.208 0.121 0.030
Te12 0.208 0.586 0.178
Te13 0.292 0.322 0.914
Te14 0.292 0.470 0.379
Te15 0.322 0.909 0.030
Te16 0.322 0.914 0.292
Te17 0.379 0.292 0.470
Te18 0.379 0.586 0.909
Te19 0.409 0.086 0.879
Te20 0.409 0.822 0.530
Te21 0.414 0.091 0.621
Te22 0.414 0.822 0.792
Te23 0.470 0.379 0.292
Te24 0.470 0.591 0.178
Te25 0.530 0.409 0.822
Te26 0.530 0.621 0.708
Te27 0.586 0.178 0.208
Te28 0.586 0.909 0.379
Te29 0.591 0.178 0.470
Te30 0.591 0.914 0.121
Te31 0.621 0.414 0.091
Te32 0.621 0.708 0.530
Te33 0.678 0.086 0.708
Te34 0.678 0.091 0.970
Te35 0.708 0.530 0.621
Te36 0.708 0.678 0.086
Te37 0.792 0.414 0.822
Te38 0.792 0.879 0.970
Te39 0.822 0.530 0.409
Te40 0.822 0.792 0.414
Te41 0.879 0.409 0.086
Te42 0.879 0.970 0.792
Te43 0.909 0.030 0.322
Te44 0.909 0.379 0.586
Te45 0.914 0.121 0.591
Te46 0.914 0.292 0.322
Te47 0.970 0.678 0.091
Te48 0.970 0.792 0.879

Output
Electronic total energy: -3.5368 eV per atom
SG: Ia-3d
Density of states at the Fermi level: 16.20 states/eV/f.u.